Record 1
This record from Alexandria via LeMat-Bulk describes PrAgI after structural relaxation. The functional is GGA-PBE.

```
PrAgI
1.0
-0.965 -0.457 4.448
0.597 -4.146 1.838
11.074 2.878 2.559
Pr Ag I
2 2 2
Cartesian
6.991 -2.574 7.822
3.715 0.849 1.023
5.266 -1.656 5.492
5.440 -0.069 3.353
1.579 -2.640 4.676
9.127 0.915 4.169
```

Results
The space-group type is C2/m, No. 12. The value obtained for the formation energy from raw total energies is -730 meV per atom.



Record 2
This record from Alexandria via LeMat-Bulk describes Pr6AgPt2I3 after structural relaxation. The functional is GGA-PBE.

```
Pr6AgPt2I3
1.0
-0.335 4.111 -6.301
4.064 -6.339 0.139
-7.729 -3.467 -0.346
Pr Ag Pt I
6 1 2 3
Cartesian
-4.171 -2.642 -6.089
1.163 -2.256 -4.454
0.171 -3.054 -0.419
-2.621 -6.325 -3.819
-5.163 -3.440 -2.054
-1.380 0.629 -2.689
0.000 0.000 0.000
2.599 -2.859 -2.005
1.130 0.631 -4.156
-0.520 -6.365 -1.086
-3.481 0.669 -5.422
-2.000 -2.848 -3.254
```

Results
The space-group type is C2/m, No. 12. The value obtained for the formation energy from raw total energies is -911 meV per atom.



Record 3
This record from Alexandria via LeMat-Bulk describes Rb2PrAg2I6 after structural relaxation. The functional is GGA-PBE.

```
Rb2PrAg2I6
1.0
-7.722 5.345 -1.398
4.487 -3.564 -6.162
-4.873 -5.892 4.390
Rb Pr Ag I
2 1 2 6
Cartesian
-4.418 1.279 -2.953
-3.691 -5.390 -0.218
-6.298 -0.274 1.496
-6.326 -1.843 -4.346
-1.782 -2.268 1.175
-6.511 -1.350 -1.444
1.292 -3.290 -4.962
-5.868 -3.267 2.431
-9.401 -0.821 1.791
-2.241 -0.844 -5.601
-1.598 -2.760 -1.726
```

Results
The space-group type is C2/m, No. 12. The value obtained for the formation energy from raw total energies is -958 meV per atom.



Record 4
This record from Alexandria via LeMat-Bulk describes RbPrAg2I6 after structural relaxation. The functional is GGA-PBE.

```
RbPrAg2I6
1.0
-3.669 2.687 6.716
5.586 -5.867 0.496
6.778 6.139 -3.653
Rb Pr Ag I
1 1 2 6
Cartesian
2.376 2.703 5.186
8.558 2.840 3.607
3.526 -2.014 2.802
4.901 4.738 0.853
8.398 0.704 1.281
0.033 2.025 2.366
2.523 -1.020 5.196
2.953 -0.675 0.434
5.471 3.406 3.225
5.911 3.742 -1.538
```

Results
The space-group type is R3, No. 146. The value obtained for the formation energy from raw total energies is -939 meV per atom.



Record 5
This record from Alexandria via LeMat-Bulk describes RbPrAgI6 after structural relaxation. The functional is GGA-PBE.

```
RbPrAgI6
1.0
8.583 0.071 0.591
4.366 6.422 0.225
0.603 -0.094 8.152
Rb Pr Ag I
1 1 1 6
Cartesian
4.472 6.028 0.313
8.890 4.083 4.753
4.291 2.153 4.050
1.905 2.382 2.038
3.812 0.261 6.177
7.594 2.404 6.927
11.729 4.306 6.194
6.256 3.951 2.972
5.257 0.029 2.446
```

Results
The space-group type is P1, No. 1. The value obtained for the formation energy from raw total energies is -963 meV per atom.



Record 6
This record from Alexandria via LeMat-Bulk describes Rb3PrAg2I9 after structural relaxation. The functional is GGA-PBE.

```
Rb3PrAg2I9
1.0
8.511 0.000 0.000
-4.256 7.371 0.000
0.000 0.000 10.646
Rb Pr Ag I
3 1 2 9
Cartesian
0.000 4.914 7.496
0.000 0.000 0.000
4.256 2.457 3.150
0.000 0.000 5.323
0.000 4.914 1.599
4.256 2.457 9.047
6.334 1.257 7.164
4.256 4.857 7.164
2.178 1.257 7.164
2.078 6.114 3.482
0.000 2.514 3.482
-2.078 6.114 3.482
4.256 0.000 0.000
-2.128 3.686 0.000
2.128 3.686 0.000
```

Results
The space-group type is P-3m1, No. 164. The value obtained for the formation energy from raw total energies is -987 meV per atom.



Record 7
This record from Alexandria via LeMat-Bulk describes Pr8AgRu3I4 after structural relaxation. The functional is GGA-PBE.

```
Pr8AgRu3I4
1.0
-5.849 -4.769 -3.877
6.934 -5.311 -3.928
0.058 0.595 8.464
Pr Ag Ru I
8 1 3 4
Cartesian
3.417 -4.237 4.381
3.391 -4.516 0.439
0.604 -2.616 2.306
0.693 -6.458 2.575
0.450 -3.027 -1.915
0.539 -6.869 -1.646
-2.248 -4.969 0.220
-2.274 -5.248 -3.721
3.467 -2.656 -1.964
0.543 -5.040 -3.902
0.572 -4.742 0.330
3.496 -2.358 2.268
-2.924 -2.385 -1.938
-2.895 -2.087 2.294
0.000 0.000 0.000
0.029 0.298 4.232
```

Results
The space-group type is R-3m, No. 166. The value obtained for the formation energy from raw total energies is -641 meV per atom.



Record 8
This record from Alexandria via LeMat-Bulk describes Pr6AgRu2I3 after structural relaxation. The functional is GGA-PBE.

```
Pr6AgRu2I3
1.0
7.377 0.000 0.001
-3.687 6.389 0.001
-1.230 -2.129 8.259
Pr Ag Ru I
6 1 2 3
Cartesian
3.788 1.954 6.692
2.359 4.084 1.560
-1.329 2.305 1.569
-0.201 4.258 6.692
0.101 0.175 6.701
2.661 0.001 1.569
0.000 0.000 0.000
-0.001 4.260 0.001
3.691 2.128 0.001
-2.479 4.271 4.131
4.938 -0.012 4.131
1.230 2.130 4.131
```

Results
The space-group type is C2/m, No. 12. The value obtained for the formation energy from raw total energies is -663 meV per atom.